Record 1
This record from Alexandria via LeMat-Bulk describes crystalline KTlPb at its relaxed geometry. The functional is PBE-GGA.

Summary:
ΔH_f (0 K) ... -0.13 eV per atom
D(E_F) ... 3.08 states/eV per cell

Lattice parameters (Å, degrees): 4.6476 7.0762 7.8847 71.05 72.87 70.96
Last column: nearest neighbours and their distance in Å.
Space group P-1 (No. 2)
Unique sites:
K1 0.0553 0.1606 0.2264 [2 per cell]  5 Tl 3.63-3.90, 4 Pb 3.77-3.99
Tl1 0.3543 0.6434 0.1478 [2 per cell]  3 Pb 3.25-3.28, 1 Tl 3.29, 2 K 3.63-3.64
Pb1 0.3083 0.3245 0.5584 [2 per cell]  3 Tl 3.25-3.28, 2 Pb 3.26



Record 2
This record from Alexandria via LeMat-Bulk describes crystalline K2Tl3Pb at its relaxed geometry. The functional is PBE-GGA.

Summary:
ΔH_f (0 K) ... -0.10 eV per atom
D(E_F) ... 7.47 states/eV per cell

Lattice parameters (Å, degrees): 11.5068 6.7396 6.7726 90.00 125.98 90.00
Last column: nearest neighbours and their distance in Å.
Space group C2/m (No. 12)
Unique sites:
K1 0.1257 0.0000 0.3752 [4 per cell]  9 Tl 3.87-3.96, 3 Pb 3.88-3.95, 4 K 4.09-4.12
Tl1 0.0000 0.5000 0.5000 [2 per cell]  4 Tl 3.34, 2 Pb 3.39
Tl2 0.2500 0.2500 0.0000 [4 per cell]  2 Pb 3.33, 4 Tl 3.34-3.37
Pb1 0.0000 0.5000 0.0000 [2 per cell]  6 Tl 3.33-3.39



Record 3
This record from Alexandria via LeMat-Bulk describes crystalline K2TlPb at its relaxed geometry. The functional is PBE-GGA.

Summary:
ΔH_f (0 K) ... -0.06 eV per atom
D(E_F) ... 5.90 states/eV per cell

Lattice parameters (Å, degrees): 5.0762 10.6933 6.7841 90.00 90.00 90.00
Last column: nearest neighbours and their distance in Å.
Space group Imm2 (No. 44)
Unique sites:
K1 0.0000 0.1921 0.0000 [4 per cell]  3 Pb 3.65-3.74, 2 Tl 3.90-4.03
Tl1 0.0000 0.0000 0.4883 [2 per cell]  2 Pb 3.03
Pb1 0.0000 0.5000 0.2324 [2 per cell]  2 Tl 3.03



Record 4
This record from Alexandria via LeMat-Bulk describes crystalline KTl2Pb at its relaxed geometry. The functional is PBE-GGA.

Summary:
ΔH_f (0 K) ... -0.07 eV per atom
D(E_F) ... 1.57 states/eV per cell

Lattice parameters (Å, degrees): 3.5113 5.4339 7.3364 90.00 103.06 90.00
Last column: nearest neighbours and their distance in Å.
Space group Pm (No. 6)
Unique sites:
K1 0.0000 0.0000 0.0000 [1 per cell]  2 K 3.51, 6 Tl 3.67-3.92, 2 Pb 3.79
Tl1 0.3092 0.5000 0.7144 [1 per cell]  4 Tl 3.27-3.51, 2 Pb 3.32-3.61
Tl2 0.4839 0.0000 0.4991 [1 per cell]  2 Pb 3.26, 4 Tl 3.27-3.51
Pb1 0.6947 0.5000 0.2978 [1 per cell]  4 Tl 3.26-3.61, 2 Pb 3.51



Record 5
This record from Alexandria via LeMat-Bulk describes crystalline K3Tl9Pb2 at its relaxed geometry. The functional is PBE-GGA.

Summary:
ΔH_f (0 K) ... -0.07 eV per atom
D(E_F) ... 14.30 states/eV per cell

Lattice parameters (Å, degrees): 5.4241 11.9952 14.8931 90.00 90.00 90.00
Last column: nearest neighbours and their distance in Å.
Space group Immm (No. 71)
Unique sites:
K1 0.0000 0.0000 0.0000 [2 per cell]  12 Tl 3.82-4.00
K2 0.0000 0.0000 0.2999 [4 per cell]  2 Pb 3.69, 12 Tl 3.74-4.08
Tl1 0.0000 0.2710 0.1346 [8 per cell]  4 Tl 3.20-3.40, 2 Pb 3.42
Tl2 0.0000 0.3659 0.3351 [8 per cell]  4 Tl 3.20-3.22, 1 Pb 3.30
Tl3 0.0000 0.5000 0.0000 [2 per cell]  4 Tl 3.40, 4 Pb 3.48
Pb1 0.0000 0.1815 0.5000 [4 per cell]  8 Tl 3.30-3.48, 2 K 3.69



Record 6
This record from Alexandria via LeMat-Bulk describes crystalline KTl2Pb at its relaxed geometry. The functional is PBE-GGA.

Summary:
ΔH_f (0 K) ... -0.06 eV per atom
D(E_F) ... 2.85 states/eV per cell

Lattice parameters (Å, degrees): 10.6422 3.7174 7.1394 90.00 98.10 90.00
Last column: nearest neighbours and their distance in Å.
Space group Cm (No. 8)
Unique sites:
K1 0.0000 0.0000 0.0000 [2 per cell]  5 Tl 3.61-4.01, 3 Pb 3.62-3.71, 2 K 3.72
Tl1 0.0020 0.5000 0.4975 [2 per cell]  3 Tl 3.20-3.39, 3 Pb 3.25-3.35
Tl2 0.2525 0.5000 0.2967 [2 per cell]  3 Tl 3.20-3.39, 2 Pb 3.42
Pb1 0.2462 0.0000 0.6976 [2 per cell]  5 Tl 3.25-3.42, 1 K 3.62



Record 7
This record from Alexandria via LeMat-Bulk describes crystalline KTl4Pb4 at its relaxed geometry. The functional is PBE-GGA.

Summary:
ΔH_f (0 K) ... -0.04 eV per atom
D(E_F) ... 9.57 states/eV per cell

Lattice parameters (Å, degrees): 10.7818 10.7818 4.9812 90.00 90.00 90.00
Last column: nearest neighbours and their distance in Å.
Space group I4/mmm (No. 139)
Unique sites:
K1 0.0000 0.0000 0.0000 [2 per cell]  8 Tl 3.64, 4 Pb 3.69
Tl1 0.1742 0.1742 0.5000 [8 per cell]  4 Tl 3.40-3.76, 6 Pb 3.52-3.61, 2 K 3.64
Pb1 0.0000 0.3421 0.0000 [8 per cell]  5 Pb 3.41-3.46, 6 Tl 3.52-3.61, 1 K 3.69



Record 8
This record from Alexandria via LeMat-Bulk describes crystalline KTl4Pb at its relaxed geometry. The functional is PBE-GGA.

Summary:
ΔH_f (0 K) ... -0.04 eV per atom
D(E_F) ... 2.33 states/eV per cell

Lattice parameters (Å, degrees): 4.1896 4.1896 11.2662 90.00 90.00 90.00
Last column: nearest neighbours and their distance in Å.
Space group P4/mmm (No. 123)
Unique sites:
K1 0.0000 0.0000 0.0000 [1 per cell]  10 Tl 3.73-3.84
Tl1 0.0000 0.0000 0.3407 [2 per cell]  5 Tl 3.35-3.59, 4 Pb 3.46
Tl2 0.5000 0.5000 0.2012 [2 per cell]  4 Tl 3.35, 1 Pb 3.37, 4 K 3.73
Pb1 0.5000 0.5000 0.5000 [1 per cell]  10 Tl 3.37-3.46